# Sc3Ag2Sn

An optimized crystal structure of Sc3Ag2Sn (PBE-GGA, Alexandria via LeMat-Bulk).

Calculated values
* energy of formation: -0.3904 eV/atom
* raw total energy: -5.174 eV/atom
* density of states at the Fermi level: 5.22 states/eV/f.u.
* space group: Cmmm (65)

Cell: 7.7914 7.7914 3.4965 Å, 90.00 90.00 143.35°
Closest atoms and distances in Å follow each position.
Atoms (fractional coordinates):
1 Sc 0.0000 0.0000 0.0000  4 Sn 3.01, 4 Ag 3.05
2 Sc 0.3291 0.6709 0.0000  6 Ag 2.94-3.01, 2 Sn 3.07
3 Sc 0.6709 0.3291 0.0000  6 Ag 2.94-3.01, 2 Sn 3.07
4 Ag 0.1694 0.8306 0.5000  8 Sc 2.94-3.05
5 Ag 0.8306 0.1694 0.5000  8 Sc 2.94-3.05
6 Sn 0.5000 0.5000 0.5000  8 Sc 3.01-3.07

# Sr2ScAg3Sn4

An optimized crystal structure of Sr2ScAg3Sn4 (PBE-GGA, Alexandria via LeMat-Bulk).

Calculated values
* energy of formation: -0.4358 eV/atom
* raw total energy: -3.862 eV/atom
* density of states at the Fermi level: 5.87 states/eV/f.u.
* space group: P-4m2 (115)

Cell: 4.5747 4.5747 12.7125 Å, 90.00 90.00 90.00°
Closest atoms and distances in Å follow each position.
Atoms (fractional coordinates):
1 Sr 0.0000 0.5000 0.2467  4 Ag 3.50, 8 Sn 3.53-3.88
2 Sr 0.5000 0.0000 0.7533  4 Ag 3.50, 8 Sn 3.53-3.88
3 Sc 0.0000 0.0000 0.5000  4 Sn 2.91, 4 Ag 3.23
4 Ag 0.0000 0.5000 0.8576  5 Sn 2.75-2.92
5 Ag 0.5000 0.0000 0.1424  5 Sn 2.75-2.92
6 Ag 0.5000 0.5000 0.5000  4 Sn 2.91, 4 Sc 3.23
7 Sn 0.0000 0.0000 0.0000  4 Ag 2.92, 4 Sn 3.23
8 Sn 0.0000 0.5000 0.6412  3 Ag 2.75-2.91, 2 Sc 2.91
9 Sn 0.5000 0.0000 0.3588  3 Ag 2.75-2.91, 2 Sc 2.91
10 Sn 0.5000 0.5000 0.0000  4 Ag 2.92, 4 Sn 3.23

# SrScAgSn

An optimized crystal structure of SrScAgSn (PBE-GGA, Alexandria via LeMat-Bulk).

Calculated values
* energy of formation: -0.3677 eV/atom
* raw total energy: -4.085 eV/atom
* density of states at the Fermi level: 2.47 states/eV/f.u.
* space group: F-43m (216)

Cell: 5.2869 5.2869 5.2869 Å, 60.00 60.00 60.00°
Closest atoms and distances in Å follow each position.
Atoms (fractional coordinates):
1 Sr 0.0000 0.0000 0.0000  4 Sn 3.24, 4 Ag 3.24
2 Sc 0.5000 0.5000 0.5000  4 Sn 3.24, 4 Ag 3.24
3 Ag 0.2500 0.2500 0.2500  4 Sc 3.24, 4 Sr 3.24
4 Sn 0.7500 0.7500 0.7500  4 Sc 3.24, 4 Sr 3.24